#A
A plane-wave DFT calculation with PBE was carried out for crystalline PuZrAl at its relaxed geometry.

Geometry as POSCAR:
```
PuZrAl
1.0
3.1014 0.0000 0.0000
0.0000 4.9461 0.0000
0.0000 -2.4730 4.2834
Al Zr Pu
1 1 1
Direct
0.6101 0.6667 0.3333 Al
0.3971 0.3333 0.6667 Zr
0.9928 0.0000 0.0000 Pu
```

- M_tot (μB per atom) = 1.81
- Fermi-level density of states (states/eV per atom) = 1.9832

***

#B
A plane-wave DFT calculation with PBE was carried out for crystalline PuZrAl at its relaxed geometry.

Geometry as POSCAR:
```
PuZrAl
1.0
-2.1881 0.5772 -1.9233
1.1416 -1.9825 -1.8938
-4.0055 -5.1493 5.3046
Al Zr Pu
1 1 1
Direct
0.7634 0.7634 0.5268 Al
0.1373 0.1373 0.2746 Zr
0.9493 0.9493 0.8986 Pu
```

- M_tot (μB per atom) = 2.10
- Fermi-level density of states (states/eV per atom) = 2.2514

***

The most stable of them is #A.

***

#A
A plane-wave DFT calculation with PBE was carried out for crystalline Pu2ZrAl at its relaxed geometry.

Geometry as POSCAR:
```
Pu2ZrAl
1.0
-2.1840 -1.5634 4.0088
1.9817 -3.7732 -0.3918
3.2616 1.4690 2.3498
Al Zr Pu
1 1 2
Direct
0.5000 0.0000 0.0000 Al
0.5000 0.5000 0.5000 Zr
0.0000 0.0000 0.5000 Pu
0.0000 0.5000 0.0000 Pu
```

- M_tot (μB per atom) = 2.63
- Fermi-level density of states (states/eV per atom) = 2.2818

***

#B
A plane-wave DFT calculation with PBE was carried out for crystalline Pu2ZrAl at its relaxed geometry.

Geometry as POSCAR:
```
Pu2ZrAl
1.0
-2.7056 -1.6373 0.2225
-0.1515 -2.9687 -1.1021
2.2723 -5.4800 9.8895
Al Zr Pu
1 1 2
Direct
0.0000 0.0000 0.0000 Al
0.5000 0.5000 0.5000 Zr
0.0882 0.0882 0.7353 Pu
0.9118 0.9118 0.2647 Pu
```

- M_tot (μB per atom) = 2.79
- Fermi-level density of states (states/eV per atom) = 3.6725

***

The most stable of them is #A.

***

#A
A plane-wave DFT calculation with PBE was carried out for crystalline RbAl at its relaxed geometry.

Geometry as POSCAR:
```
RbAl
1.0
-10.8952 8.3954 -0.2753
-7.9113 -10.4076 -4.2846
-0.9640 -1.1046 4.4632
Rb Al
8 8
Direct
0.7514 0.5000 0.0000 Rb
0.2486 0.5000 0.0000 Rb
0.5000 0.2486 0.0000 Rb
0.5000 0.7514 0.0000 Rb
0.2514 0.0000 0.5000 Rb
0.7486 0.0000 0.5000 Rb
0.0000 0.7486 0.5000 Rb
0.0000 0.2514 0.5000 Rb
0.2255 0.2255 0.0000 Al
0.2255 0.7745 0.0000 Al
0.7745 0.2255 0.0000 Al
0.7745 0.7745 0.0000 Al
0.7255 0.7255 0.5000 Al
0.7255 0.2745 0.5000 Al
0.2745 0.7255 0.5000 Al
0.2745 0.2745 0.5000 Al
```

- M_tot (μB per atom) = 0.00
- Fermi-level density of states (states/eV per atom) = 0.4014

***

#B
A plane-wave DFT calculation with PBE was carried out for crystalline RbAl at its relaxed geometry.

Geometry as POSCAR:
```
RbAl
1.0
13.4300 0.0000 0.0000
-6.7150 11.6307 0.0000
0.0000 0.0000 4.6980
Rb Al
6 6
Direct
0.7822 0.5645 0.2500 Rb
0.2178 0.7822 0.7500 Rb
0.4355 0.2178 0.2500 Rb
0.2178 0.4355 0.7500 Rb
0.7822 0.2178 0.2500 Rb
0.5645 0.7822 0.7500 Rb
0.4796 0.9593 0.2500 Al
0.5204 0.4796 0.7500 Al
0.0407 0.5204 0.2500 Al
0.5204 0.0407 0.7500 Al
0.4796 0.5204 0.2500 Al
0.9593 0.4796 0.7500 Al
```

- M_tot (μB per atom) = 0.00
- Fermi-level density of states (states/eV per atom) = 0.3899

***

#C
A plane-wave DFT calculation with PBE was carried out for crystalline RbAl at its relaxed geometry.

Geometry as POSCAR:
```
RbAl
1.0
-3.1558 0.7214 -7.5409
-1.5246 -8.0625 -0.1333
-7.4204 1.3497 3.2345
Rb Al
4 4
Direct
0.0000 0.0000 0.0000 Rb
0.0000 0.5000 0.5000 Rb
0.5000 0.0000 0.5000 Rb
0.5000 0.5000 0.0000 Rb
0.2500 0.2500 0.2500 Al
0.2500 0.7500 0.7500 Al
0.7500 0.2500 0.7500 Al
0.7500 0.7500 0.2500 Al
```

- M_tot (μB per atom) = 0.00
- Fermi-level density of states (states/eV per atom) = 0.7468

***

#D
A plane-wave DFT calculation with PBE was carried out for crystalline RbAl at its relaxed geometry.

Geometry as POSCAR:
```
RbAl
1.0
4.3042 0.0000 0.0000
0.0000 4.3042 0.0000
0.0000 0.0000 4.3042
Al Rb
1 1
Direct
0.5000 0.5000 0.5000 Al
0.0000 0.0000 0.0000 Rb
```

- M_tot (μB per atom) = 0.00
- Fermi-level density of states (states/eV per atom) = 1.3793

***

The most stable of them is #A.

***

#A
A plane-wave DFT calculation with PBE was carried out for crystalline RbAl at its relaxed geometry.

Geometry as POSCAR:
```
RbAl
1.0
-14.0731 -0.0967 -7.1664
-1.9359 -1.4195 3.8207
-1.0378 6.6593 1.9482
Rb Al
6 6
Direct
0.7708 0.0000 0.1429 Rb
0.2292 0.0000 0.1429 Rb
0.2708 0.5000 0.6429 Rb
0.7292 0.5000 0.6429 Rb
0.0000 0.5000 0.0161 Rb
0.5000 0.0000 0.5161 Rb
0.9124 0.0000 0.5894 Al
0.0876 0.0000 0.5894 Al
0.4124 0.5000 0.0894 Al
0.5876 0.5000 0.0894 Al
0.0000 0.5000 0.5214 Al
0.5000 0.0000 0.0214 Al
```

- M_tot (μB per atom) = 0.00
- Fermi-level density of states (states/eV per atom) = 0.4753

***

#B
A plane-wave DFT calculation with PBE was carried out for crystalline RbAl at its relaxed geometry.

Geometry as POSCAR:
```
RbAl
1.0
7.5267 0.0000 0.0000
0.0000 7.5267 0.0000
0.0000 0.0000 7.4291
Rb Al
4 4
Direct
0.1763 0.1763 0.0000 Rb
0.6763 0.3237 0.5000 Rb
0.3237 0.6763 0.5000 Rb
0.8237 0.8237 0.0000 Rb
0.3809 0.6191 0.0000 Al
0.8809 0.8809 0.5000 Al
0.1191 0.1191 0.5000 Al
0.6191 0.3809 0.0000 Al
```

- M_tot (μB per atom) = 0.36
- Fermi-level density of states (states/eV per atom) = 1.1553

***

The most stable of them is #A.

***

#A
A plane-wave DFT calculation with PBE was carried out for crystalline RbAl at its relaxed geometry.

Geometry as POSCAR:
```
RbAl
1.0
12.7897 0.0000 0.0000
0.0000 12.7897 0.0000
0.0000 0.0000 4.2331
Rb Al
8 8
Direct
0.6910 0.3733 0.5000 Rb
0.3090 0.6268 0.5000 Rb
0.6268 0.6910 0.5000 Rb
0.3733 0.3090 0.5000 Rb
0.8839 0.7982 0.0000 Rb
0.1161 0.2018 0.0000 Rb
0.2018 0.8839 0.0000 Rb
0.7982 0.1161 0.0000 Rb
0.9152 0.5641 0.5000 Al
0.0848 0.4359 0.5000 Al
0.4359 0.9152 0.5000 Al
0.5641 0.0848 0.5000 Al
0.9212 0.4265 0.0000 Al
0.0788 0.5735 0.0000 Al
0.5735 0.9212 0.0000 Al
0.4265 0.0788 0.0000 Al
```

- M_tot (μB per atom) = 0.00
- Fermi-level density of states (states/eV per atom) = 0.4636

***

#B
A plane-wave DFT calculation with PBE was carried out for crystalline RbAl at its relaxed geometry.

Geometry as POSCAR:
```
RbAl
1.0
-0.0826 4.4690 9.5248
-17.5493 -1.6446 0.6195
0.6806 -6.1697 2.9007
Rb Al
16 16
Direct
0.3327 0.0000 0.0000 Rb
0.6673 0.0000 0.0000 Rb
0.9173 0.7500 0.2500 Rb
0.5827 0.7500 0.2500 Rb
0.3327 0.5000 0.5000 Rb
0.6673 0.5000 0.5000 Rb
0.9173 0.2500 0.7500 Rb
0.5827 0.2500 0.7500 Rb
0.8327 0.0000 0.5000 Rb
0.1673 0.0000 0.5000 Rb
0.4173 0.7500 0.7500 Rb
0.0827 0.7500 0.7500 Rb
0.8327 0.5000 0.0000 Rb
0.1673 0.5000 0.0000 Rb
0.4173 0.2500 0.2500 Rb
0.0827 0.2500 0.2500 Rb
0.0000 0.9253 0.0000 Al
0.0000 0.0747 0.0000 Al
0.2500 0.8247 0.2500 Al
0.2500 0.6753 0.2500 Al
0.0000 0.4253 0.5000 Al
0.0000 0.5747 0.5000 Al
0.2500 0.3247 0.7500 Al
0.2500 0.1753 0.7500 Al
0.5000 0.9253 0.5000 Al
0.5000 0.0747 0.5000 Al
0.7500 0.8247 0.7500 Al
0.7500 0.6753 0.7500 Al
0.5000 0.4253 0.0000 Al
0.5000 0.5747 0.0000 Al
0.7500 0.3247 0.2500 Al
0.7500 0.1753 0.2500 Al
```

- M_tot (μB per atom) = 0.00
- Fermi-level density of states (states/eV per atom) = 0.9208

***

#C
A plane-wave DFT calculation with PBE was carried out for crystalline RbAl at its relaxed geometry.

Geometry as POSCAR:
```
RbAl
1.0
-4.6490 4.0660 1.2128
0.4728 -5.3230 3.3254
4.3205 3.4676 4.9363
Rb Al
2 2
Direct
0.3333 0.6667 0.7500 Rb
0.6667 0.3333 0.2500 Rb
0.3333 0.6667 0.2500 Al
0.6667 0.3333 0.7500 Al
```

- M_tot (μB per atom) = 0.00
- Fermi-level density of states (states/eV per atom) = 1.0150

***

#D
A plane-wave DFT calculation with PBE was carried out for crystalline RbAl at its relaxed geometry.

Geometry as POSCAR:
```
RbAl
1.0
4.6606 0.0000 0.0002
-2.3282 4.0376 -0.0041
-0.2827 -2.4547 10.1682
Al Rb
2 2
Direct
0.1667 0.3333 0.0000 Al
0.8333 0.6667 0.0000 Al
0.4048 0.8414 0.7391 Rb
0.5952 0.1586 0.2609 Rb
```

- M_tot (μB per atom) = 0.00
- Fermi-level density of states (states/eV per atom) = 0.9534

***

The most stable of them is #D.

***

#A
A plane-wave DFT calculation with PBE was carried out for crystalline RbAl at its relaxed geometry.

Geometry as POSCAR:
```
RbAl
1.0
11.3935 0.0000 0.0000
0.0000 8.6307 0.0000
0.0000 0.0000 6.3848
Rb Al
8 8
Direct
0.3288 0.3525 0.2500 Rb
0.3288 0.6475 0.7500 Rb
0.6712 0.3525 0.2500 Rb
0.6712 0.6475 0.7500 Rb
0.8288 0.8525 0.2500 Rb
0.8288 0.1475 0.7500 Rb
0.1712 0.8525 0.2500 Rb
0.1712 0.1475 0.7500 Rb
0.0000 0.5000 0.0000 Al
0.0000 0.5000 0.5000 Al
0.5000 0.0000 0.0000 Al
0.5000 0.0000 0.5000 Al
0.0000 0.2653 0.2500 Al
0.0000 0.7347 0.7500 Al
0.5000 0.7653 0.2500 Al
0.5000 0.2347 0.7500 Al
```

- M_tot (μB per atom) = 0.00
- Fermi-level density of states (states/eV per atom) = 0.4100

***

#B
A plane-wave DFT calculation with PBE was carried out for crystalline RbAl at its relaxed geometry.

Geometry as POSCAR:
```
RbAl
1.0
-7.3024 5.6292 -5.3412
-5.7472 -8.8514 -1.4713
-5.2141 1.8726 9.1021
Rb Al
8 8
Direct
0.2887 0.2887 0.2887 Rb
0.2887 0.7113 0.7113 Rb
0.7113 0.2887 0.7113 Rb
0.7113 0.7113 0.2887 Rb
0.7887 0.7887 0.7887 Rb
0.7887 0.2113 0.2113 Rb
0.2113 0.7887 0.2113 Rb
0.2113 0.2113 0.7887 Rb
0.0906 0.0906 0.0906 Al
0.0906 0.9094 0.9094 Al
0.9094 0.0906 0.9094 Al
0.9094 0.9094 0.0906 Al
0.5906 0.5906 0.5906 Al
0.5906 0.4094 0.4094 Al
0.4094 0.5906 0.4094 Al
0.4094 0.4094 0.5906 Al
```

- M_tot (μB per atom) = 0.52
- Fermi-level density of states (states/eV per atom) = 0.7184

***

#C
A plane-wave DFT calculation with PBE was carried out for crystalline RbAl at its relaxed geometry.

Geometry as POSCAR:
```
RbAl
1.0
-3.0063 5.5445 -2.6239
-2.8430 -0.7353 1.7035
6.6351 11.1067 15.8670
Rb Al
6 6
Direct
0.0000 0.4972 0.8333 Rb
0.5000 0.5028 0.6667 Rb
0.5000 0.5028 0.3333 Rb
0.0000 0.4972 0.1667 Rb
0.0000 0.5063 0.5000 Rb
0.5000 0.4937 0.0000 Rb
0.0000 0.0042 0.6664 Al
0.5000 0.9958 0.8336 Al
0.5000 0.9958 0.1664 Al
0.0000 0.0042 0.3336 Al
0.0000 0.9943 0.0000 Al
0.5000 0.0057 0.5000 Al
```

- M_tot (μB per atom) = 0.00
- Fermi-level density of states (states/eV per atom) = 0.8727

***

The most stable of them is #A.